## AlTlCr2 (PBE)

Data for a relaxed structure of AlTlCr2.

```
AlTlCr2
1.0
2.9876 0.0000 0.0000
0.0000 3.0182 -0.2588
0.0000 2.1620 7.3616
Cr Tl Al
2 1 1
Cartesian
1.4938 1.4432 1.2824
0.0000 2.8509 -0.0364
0.0000 3.1260 3.2594
1.4938 3.3685 5.8899
```

Properties
Magnetization ... 0.4 μB per formula unit
DOS at the Fermi energy ... 2.4 states/eV/f.u.
Theoretical density ... 8183 kg/m³
Space-group type ... Pm (6)
Formation energy from the elements ... 0.268 eV per atom